No. 1
Compound: Cs3NaZn2F9
Source: Alexandria via LeMat-Bulk
Functional: PBE
Structure: optimized geometry

It has space group P-3m1 (No. 164), with a = 6.1714 Å, b = 6.1714 Å, c = 7.6247 Å, α = 90.00°, β = 90.00° and γ = 120.00°. The asymmetric unit holds Cs at (0.0000, 0.0000, 0.0000), Cs at (0.3333, 0.6667, 0.6581), Na at (0.0000, 0.0000, 0.5000), Zn at (0.3333, 0.6667, 0.1592), F at (0.0000, 0.5000, 0.0000) and F at (0.1798, 0.3595, 0.3081).

The raw formation energy is -2435 meV per atom.

---

No. 2
Compound: Rb2IrCl5
Source: Alexandria via LeMat-Bulk
Functional: PBE
Structure: optimized geometry

It has space group I4mm (No. 107), with a = 7.4481 Å, b = 7.4481 Å, c = 9.3146 Å, α = 90.00°, β = 90.00° and γ = 90.00°. The asymmetric unit holds Rb at (0.0000, 0.5000, 0.0000), Ir at (0.0000, 0.0000, 0.2363), Cl at (0.0000, 0.0000, 0.9936) and Cl at (0.2232, 0.2232, 0.2511).

The raw formation energy is -1151 meV per atom.

---

No. 3
Compound: La5Ru2
Source: Alexandria via LeMat-Bulk
Functional: PBE
Structure: optimized geometry

It has space group C2/c (No. 15), with a = 16.8786 Å, b = 6.7424 Å, c = 7.3781 Å, α = 90.00°, β = 94.99° and γ = 90.00°. The asymmetric unit holds La at (0.0000, 0.0777, 0.2500), La at (0.0929, 0.3908, 0.9037), La at (0.2144, 0.0745, 0.3215) and Ru at (0.1112, 0.2162, 0.5816).

The calculation puts the calculated formation energy at -26.7 kJ per mole of atoms.

---

No. 4
Compound: K2CdAu
Source: Alexandria via LeMat-Bulk
Functional: PBE
Structure: optimized geometry

It has space group Cm (No. 8), with a = 13.4411 Å, b = 4.0432 Å, c = 5.7882 Å, α = 90.00°, β = 115.42° and γ = 90.00°. The asymmetric unit holds K at (0.0000, 0.0000, 0.0000), K at (0.1959, 0.0000, 0.6950), Cd at (0.4044, 0.0000, 0.4044) and Au at (0.2398, 0.5000, 0.2383).

The calculation puts the calculated formation energy at -17.9 kJ per mole of atoms.

---

Question: What is the formula in the second record?
Answer: Rb2IrCl5